# RbLaCd2Rh (PBE, relaxed)
data_RbLaCd2Rh
_chemical_formula_sum 'Rb1 La1 Cd2 Rh1'
_space_group_name_H-M_alt 'P 4/m m m'
_space_group_IT_number 123
_space_group_name_Hall '-P 4 2'
_cell_length_a 5.5438
_cell_length_b 5.5438
_cell_length_c 5.1800
_cell_angle_alpha 90.00
_cell_angle_beta 90.00
_cell_angle_gamma 90.00
loop_
_atom_site_label
_atom_site_type_symbol
_atom_site_fract_x
_atom_site_fract_y
_atom_site_fract_z
_atom_site_occupancy
Rb1 Rb 0.0000 0.0000 0.0000 1
La1 La 0.5000 0.5000 0.0000 1
Cd1 Cd 0.0000 0.5000 0.5000 1
Rh1 Rh 0.5000 0.5000 0.5000 1
# * E_form: -24.8 kJ/mol of atoms
# * total magnetization: 0.00 μB per formula unit